Record 1
A plane-wave DFT calculation with PBE-GGA was carried out for crystalline DyThTeN2 at its relaxed geometry.

Values from the calculation:
formation energy from raw total energies	-7.1	eV per formula unit
E	-38.94	eV/f.u.

Unit cell a=4.108 b=7.285 c=8.071 alpha=107.48 beta=90.00 gamma=90.00
Element x y z (fractional)
N: 0.250 0.484 0.118
N: 0.250 0.505 0.629
N: 0.750 0.495 0.371
N: 0.750 0.516 0.882
Te: 0.750 0.957 0.253
Te: 0.250 0.043 0.747
Th: 0.750 0.334 0.079
Th: 0.250 0.666 0.921
Dy: 0.250 0.646 0.414
Dy: 0.750 0.354 0.586

Record 2
A plane-wave DFT calculation with PBE-GGA was carried out for crystalline DyYGeRh at its relaxed geometry.

Values from the calculation:
energy of formation	-0.74	eV/atom
energy relative to the lowest polymorph listed for this composition	2.96	kcal/mol of atoms
E	-25.99	eV/f.u.

Unit cell a=4.956 b=4.956 c=4.956 alpha=60.00 beta=60.00 gamma=60.00
Element x y z (fractional)
Y: 0.250 0.250 0.250
Ge: 0.500 0.500 0.500
Dy: 0.750 0.750 0.750
Rh: 0.000 0.000 0.000